LaIn2Se | PBE | relaxed

Structure (CIF):
```
data_LaIn2Se
_cell_length_a 4.303
_cell_length_b 4.303
_cell_length_c 11.741
_cell_angle_alpha 90.00
_cell_angle_beta 90.00
_cell_angle_gamma 90.00
_space_group_name_H-M_alt 'I 4/m m m'
_space_group_IT_number 139
_space_group_name_Hall '-I 4 2'
loop_
_atom_site_label
_atom_site_type_symbol
_atom_site_fract_x
_atom_site_fract_y
_atom_site_fract_z
La1 La 0.000 0.000 0.000
In1 In 0.000 0.500 0.250
Se1 Se 0.000 0.000 0.500
```

Calculated values
E, eV/atom: -4.2776
E_form (uncorrected), eV per atom: -0.805